[1]
! CaVCr2Bi (PBE, relaxed); values from VASP
&SYSTEM
  ibrav = 0, nat = 5, ntyp = 4
/
ATOMIC_SPECIES
V 50.94 V.upf
Bi 208.98 Bi.upf
Ca 40.08 Ca.upf
Cr 52.00 Cr.upf
CELL_PARAMETERS angstrom
4.525 0.000 0.000
0.000 4.666 0.000
0.000 0.000 4.525
ATOMIC_POSITIONS crystal
V 0.000 0.500 0.000
Bi 0.500 0.500 0.500
Ca 0.000 0.000 0.000
Cr 0.000 0.000 0.500
Cr 0.500 0.000 0.000
! - Energy of formation from the pure elements: 2.285 eV per atom
! - Space-group type: P4/mmm (123)

[2]
! TaAsRh2 (PBE, relaxed); values from VASP
&SYSTEM
  ibrav = 0, nat = 4, ntyp = 3
/
ATOMIC_SPECIES
Ta 180.95 Ta.upf
Rh 102.91 Rh.upf
As 74.92 As.upf
CELL_PARAMETERS angstrom
8.664 -0.013 -0.007
8.175 2.868 -0.007
8.175 1.386 2.511
ATOMIC_POSITIONS crystal
Ta 0.500 0.500 0.500
Rh 0.006 0.006 0.006
Rh 0.248 0.248 0.248
As 0.746 0.746 0.746
! - Energy of formation from the pure elements: -0.125 eV per atom
! - Space-group type: R3m (160)

[3]
! Tb2Y6Ho3Er (PBE, relaxed); values from VASP
&SYSTEM
  ibrav = 0, nat = 12, ntyp = 4
/
ATOMIC_SPECIES
Er 167.26 Er.upf
Tb 158.93 Tb.upf
Y 88.91 Y.upf
Ho 164.93 Ho.upf
CELL_PARAMETERS angstrom
6.149 0.002 0.008
-3.071 5.327 0.008
-1.036 -1.794 11.595
ATOMIC_POSITIONS crystal
Er 0.000 0.000 0.000
Tb 0.667 0.333 0.000
Y 0.751 0.751 0.251
Ho 0.167 0.833 0.500
Tb 0.333 0.667 0.000
Ho 0.833 0.167 0.500
Y 0.583 0.916 0.750
Y 0.249 0.249 0.749
Ho 0.500 0.500 0.500
Y 0.084 0.417 0.250
Y 0.916 0.583 0.750
Y 0.417 0.084 0.250
! - Energy of formation from the pure elements: 0.022 eV per atom
! - Space-group type: C2/m (12)

[4]
! Er3Cu2Pd2 (PBE, relaxed); values from VASP
&SYSTEM
  ibrav = 0, nat = 7, ntyp = 3
/
ATOMIC_SPECIES
Pd 106.42 Pd.upf
Er 167.26 Er.upf
Cu 63.55 Cu.upf
CELL_PARAMETERS angstrom
5.378 1.274 -0.713
-2.300 3.055 -0.952
0.645 -2.073 8.121
ATOMIC_POSITIONS crystal
Pd 0.093 0.882 0.336
Pd 0.907 0.118 0.664
Er 0.000 0.000 0.000
Er 0.656 0.184 0.357
Cu 0.626 0.375 0.061
Cu 0.374 0.625 0.939
Er 0.344 0.816 0.643
! - Energy of formation from the pure elements: -0.620 eV per atom
! - Space-group type: P-1 (2)

[5]
! CdAsH2Pd (PBE, relaxed); values from VASP
&SYSTEM
  ibrav = 0, nat = 5, ntyp = 4
/
ATOMIC_SPECIES
H 1.01 H.upf
Pd 106.42 Pd.upf
Cd 112.41 Cd.upf
As 74.92 As.upf
CELL_PARAMETERS angstrom
3.590 0.000 0.000
0.000 6.229 0.000
0.000 0.000 3.590
ATOMIC_POSITIONS crystal
H 0.000 0.000 0.500
Pd 0.000 0.500 0.000
H 0.500 0.000 0.000
Cd 0.000 0.000 0.000
As 0.500 0.500 0.500
! - E: -0.116 Ha/atom
! - Space-group type: P4/mmm (123)

[6]
! CdB2Sb (PBE, relaxed); values from VASP
&SYSTEM
  ibrav = 0, nat = 8, ntyp = 3
/
ATOMIC_SPECIES
Cd 112.41 Cd.upf
B 10.81 B.upf
Sb 121.76 Sb.upf
CELL_PARAMETERS angstrom
5.499 0.000 0.000
0.000 5.499 0.000
2.750 2.750 4.982
ATOMIC_POSITIONS crystal
Cd 0.500 0.500 0.000
B 0.875 0.892 0.750
B 0.642 0.125 0.250
B 0.375 0.358 0.750
Sb 0.000 0.000 0.000
Sb 0.750 0.250 0.500
B 0.108 0.625 0.250
Cd 0.250 0.750 0.500
! - E_form (uncorrected): 23.4 kcal/mol of atoms
! - Distance to the lowest polymorph of the same formula: 0 meV per atom
! - Space-group type: I-42d (122)

[7]
! CuTe3Ru (PBE, relaxed); values from VASP
&SYSTEM
  ibrav = 0, nat = 5, ntyp = 3
/
ATOMIC_SPECIES
Te 127.60 Te.upf
Cu 63.55 Cu.upf
Ru 101.07 Ru.upf
CELL_PARAMETERS angstrom
4.979 0.000 0.000
0.000 4.979 0.000
0.000 0.000 4.979
ATOMIC_POSITIONS crystal
Te 0.000 0.000 0.500
Cu 0.000 0.000 0.000
Ru 0.500 0.500 0.500
Te 0.000 0.500 0.000
Te 0.500 0.000 0.000
! - E_form (uncorrected): 24.8 kcal/mol of atoms
! - Distance to the lowest polymorph of the same formula: 307 meV per atom
! - Space-group type: Pm-3m (221)

[8]
! NpPbAu (PBE, relaxed); values from VASP
&SYSTEM
  ibrav = 0, nat = 6, ntyp = 3
/
ATOMIC_SPECIES
Pb 207.20 Pb.upf
Au 196.97 Au.upf
Np 237.00 Np.upf
CELL_PARAMETERS angstrom
-4.334 -0.533 -2.980
-0.181 -4.803 5.800
-1.749 2.581 2.083
ATOMIC_POSITIONS crystal
Pb 0.760 0.520 0.750
Au 0.077 0.154 0.750
Np 0.444 0.889 0.750
Np 0.556 0.111 0.250
Au 0.923 0.846 0.250
Pb 0.240 0.480 0.250
! - Energy of formation from the pure elements: 0.042 eV per atom
! - Space-group type: Cmcm (63)

[9]
! Li2HoCd5 (PBE, relaxed); values from VASP
&SYSTEM
  ibrav = 0, nat = 8, ntyp = 3
/
ATOMIC_SPECIES
Ho 164.93 Ho.upf
Li 6.94 Li.upf
Cd 112.41 Cd.upf
CELL_PARAMETERS angstrom
4.464 0.000 -1.674
-0.628 4.420 -1.674
0.488 0.562 8.091
ATOMIC_POSITIONS crystal
Ho 0.000 0.000 0.000
Li 0.251 0.251 0.501
Cd 0.858 0.358 0.716
Cd 0.358 0.858 0.716
Cd 0.642 0.142 0.284
Cd 0.142 0.642 0.284
Li 0.749 0.749 0.499
Cd 0.500 0.500 0.000
! - Energy of formation from the pure elements: -0.234 eV per atom
! - Space-group type: I4/mmm (139)

[10]
! Y2Al2CdPd5 (PBE, relaxed); values from VASP
&SYSTEM
  ibrav = 0, nat = 20, ntyp = 4
/
ATOMIC_SPECIES
Y 88.91 Y.upf
Cd 112.41 Cd.upf
Pd 106.42 Pd.upf
Al 26.98 Al.upf
CELL_PARAMETERS angstrom
3.679 0.000 0.000
0.000 10.035 0.000
0.000 0.000 10.035
ATOMIC_POSITIONS crystal
Y 0.000 0.821 0.679
Cd 0.000 0.500 0.500
Y 0.000 0.679 0.179
Pd 0.500 0.434 0.286
Y 0.000 0.321 0.821
Cd 0.000 0.000 0.000
Pd 0.500 0.214 0.066
Pd 0.500 0.714 0.434
Pd 0.500 0.786 0.934
Pd 0.500 0.500 0.000
Al 0.000 0.881 0.381
Al 0.000 0.381 0.119
Pd 0.500 0.286 0.566
Pd 0.500 0.566 0.714
Pd 0.500 0.000 0.500
Pd 0.500 0.934 0.214
Pd 0.500 0.066 0.786
Y 0.000 0.179 0.321
Al 0.000 0.619 0.881
Al 0.000 0.119 0.619
! - Energy of formation from the pure elements: -0.739 eV per atom
! - Space-group type: P4/mbm (127)

[11]
! TlFe2Ag (PBE, relaxed); values from VASP
&SYSTEM
  ibrav = 0, nat = 4, ntyp = 3
/
ATOMIC_SPECIES
Tl 204.38 Tl.upf
Fe 55.84 Fe.upf
Ag 107.87 Ag.upf
CELL_PARAMETERS angstrom
-4.270 0.907 2.152
-2.599 -4.112 -0.157
4.545 0.803 1.544
ATOMIC_POSITIONS crystal
Tl 0.500 0.500 0.000
Fe 0.250 0.750 0.500
Fe 0.000 0.000 0.000
Ag 0.750 0.250 0.500
! - Energy of formation from the pure elements: 0.517 eV per atom
! - Distance to the lowest polymorph of the same formula: 158 meV per atom
! - Space-group type: I-4m2 (119)

[12]
! KBaIr2 (PBE, relaxed); values from VASP
&SYSTEM
  ibrav = 0, nat = 4, ntyp = 3
/
ATOMIC_SPECIES
Ir 192.22 Ir.upf
K 39.10 K.upf
Ba 137.33 Ba.upf
CELL_PARAMETERS angstrom
-1.705 1.409 2.206
2.196 -0.664 2.120
4.507 8.563 -1.986
ATOMIC_POSITIONS crystal
Ir 0.000 0.000 0.992
K 0.500 0.500 0.250
Ba 0.500 0.500 0.750
Ir 0.000 0.000 0.508
! - Energy of formation from the pure elements: 0.898 eV per atom
! - Distance to the lowest polymorph of the same formula: 829 meV per atom
! - Space-group type: P4/mmm (123)

[13]
! Ta2BeCl (PBE, relaxed); values from VASP
&SYSTEM
  ibrav = 0, nat = 4, ntyp = 3
/
ATOMIC_SPECIES
Be 9.01 Be.upf
Ta 180.95 Ta.upf
Cl 35.45 Cl.upf
CELL_PARAMETERS angstrom
-8.629 0.865 -0.108
-8.368 -1.645 -1.578
-8.406 -1.660 1.342
ATOMIC_POSITIONS crystal
Be 0.250 0.250 0.250
Ta 0.501 0.501 0.501
Cl 0.750 0.750 0.750
Ta 0.999 0.999 0.999
! - E_form (uncorrected): 7.3 kcal/mol of atoms
! - Distance to the lowest polymorph of the same formula: 214 meV per atom
! - Space-group type: R-3m (166)

[14]
! Na2CuHgO4 (PBE, relaxed); values from VASP
&SYSTEM
  ibrav = 0, nat = 8, ntyp = 4
/
ATOMIC_SPECIES
Na 22.99 Na.upf
O 16.00 O.upf
Hg 200.59 Hg.upf
Cu 63.55 Cu.upf
CELL_PARAMETERS angstrom
-1.548 2.070 -1.490
2.510 -2.187 -5.648
-5.487 -2.434 2.320
ATOMIC_POSITIONS crystal
Na 0.500 0.000 0.500
O 0.500 0.184 0.274
Hg 0.000 0.000 0.000
O 0.000 0.658 0.205
Na 0.000 0.500 0.500
O 0.000 0.342 0.795
Cu 0.500 0.500 0.000
O 0.500 0.816 0.726
! - E_form (uncorrected): -17.4 kcal/mol of atoms
! - Space-group type: P2/m (10)

[15]
! Ce2Ga5Au12 (PBE, relaxed); values from VASP
&SYSTEM
  ibrav = 0, nat = 19, ntyp = 3
/
ATOMIC_SPECIES
Au 196.97 Au.upf
Ce 140.12 Ce.upf
Ga 69.72 Ga.upf
CELL_PARAMETERS angstrom
7.218 0.145 0.765
0.703 7.185 0.765
0.157 0.145 7.256
ATOMIC_POSITIONS crystal
Au 0.000 0.688 0.312
Au 0.312 0.688 0.000
Au 0.663 0.663 0.141
Ce 0.337 0.337 0.337
Ga 0.909 0.909 0.909
Ga 0.500 0.000 0.000
Au 0.337 0.859 0.337
Ce 0.663 0.663 0.663
Au 0.141 0.663 0.663
Au 0.312 0.000 0.688
Au 0.337 0.337 0.859
Au 0.688 0.312 0.000
Au 0.688 0.000 0.312
Au 0.000 0.312 0.688
Ga 0.000 0.500 0.000
Ga 0.091 0.091 0.091
Au 0.859 0.337 0.337
Ga 0.000 0.000 0.500
Au 0.663 0.141 0.663
! - Energy of formation from the pure elements: -0.318 eV per atom
! - Space-group type: R-3m (166)

[16]
! Ca2ScInW (PBE, relaxed); values from VASP
&SYSTEM
  ibrav = 0, nat = 5, ntyp = 4
/
ATOMIC_SPECIES
Ca 40.08 Ca.upf
Sc 44.96 Sc.upf
In 114.82 In.upf
W 183.84 W.upf
CELL_PARAMETERS angstrom
5.345 0.000 0.000
0.000 5.417 0.000
0.000 0.000 5.345
ATOMIC_POSITIONS crystal
Ca 0.500 0.000 0.000
Sc 0.500 0.500 0.500
In 0.000 0.500 0.000
Ca 0.000 0.000 0.500
W 0.000 0.000 0.000
! - Energy of formation from the pure elements: 1.010 eV per atom
! - Space-group type: P4/mmm (123)

[17]
! Pm3Nd3Tl2Rh (PBE, relaxed); values from VASP
&SYSTEM
  ibrav = 0, nat = 9, ntyp = 4
/
ATOMIC_SPECIES
Nd 144.24 Nd.upf
Rh 102.91 Rh.upf
Tl 204.38 Tl.upf
Pm 145.00 Pm.upf
CELL_PARAMETERS angstrom
3.891 0.000 0.000
0.000 8.942 0.000
0.000 -4.471 7.744
ATOMIC_POSITIONS crystal
Nd 0.000 0.399 0.000
Rh 0.000 0.000 0.000
Tl 0.500 0.333 0.667
Nd 0.000 0.000 0.399
Tl 0.500 0.667 0.333
Pm 0.500 0.000 0.760
Nd 0.000 0.601 0.601
Pm 0.500 0.760 0.000
Pm 0.500 0.240 0.240
! - Energy of formation from the pure elements: -0.373 eV per atom
! - Space-group type: P-62m (189)

[18]
! In2NiP (PBE, relaxed); values from VASP
&SYSTEM
  ibrav = 0, nat = 4, ntyp = 3
/
ATOMIC_SPECIES
P 30.97 P.upf
In 114.82 In.upf
Ni 58.69 Ni.upf
CELL_PARAMETERS angstrom
4.494 0.000 0.000
0.000 4.494 0.000
0.000 0.000 3.646
ATOMIC_POSITIONS crystal
P 0.000 0.000 0.500
In 0.500 0.000 0.000
In 0.000 0.500 0.000
Ni 0.500 0.500 0.500
! - Energy of formation from the pure elements: 0.292 eV per atom
! - Space-group type: P4/mmm (123)

[19]
! Mn2VCr6 (PBE, relaxed); values from VASP
&SYSTEM
  ibrav = 0, nat = 9, ntyp = 3
/
ATOMIC_SPECIES
Cr 52.00 Cr.upf
Mn 54.94 Mn.upf
V 50.94 V.upf
CELL_PARAMETERS angstrom
-0.642 0.354 -2.754
-1.402 -4.199 -1.687
-8.359 0.252 0.508
ATOMIC_POSITIONS crystal
Cr 0.998 0.338 0.666
Mn 0.332 0.113 0.223
Cr 0.667 0.219 0.447
Mn 0.668 0.887 0.777
V 0.000 0.000 0.000
Cr 0.666 0.555 0.113
Cr 0.002 0.662 0.334
Cr 0.333 0.781 0.553
Cr 0.334 0.445 0.887
! - Energy of formation from the pure elements: -0.029 eV per atom
! - Space-group type: C2/m (12)

[20]
! TiSb2PI (PBE, relaxed); values from VASP
&SYSTEM
  ibrav = 0, nat = 5, ntyp = 4
/
ATOMIC_SPECIES
P 30.97 P.upf
Sb 121.76 Sb.upf
I 126.90 I.upf
Ti 47.87 Ti.upf
CELL_PARAMETERS angstrom
-1.956 1.087 -4.687
-1.437 -4.960 -0.551
-4.586 1.088 2.166
ATOMIC_POSITIONS crystal
P 0.000 0.000 0.000
Sb 0.500 0.000 0.000
I 0.000 0.000 0.500
Sb 0.000 0.500 0.000
Ti 0.500 0.500 0.500
! - E_form (uncorrected): 18.9 kcal/mol of atoms
! - Distance to the lowest polymorph of the same formula: 210 meV per atom
! - Space-group type: P4/mmm (123)

[21]
! Ho2ErTl (PBE, relaxed); values from VASP
&SYSTEM
  ibrav = 0, nat = 8, ntyp = 3
/
ATOMIC_SPECIES
Tl 204.38 Tl.upf
Ho 164.93 Ho.upf
Er 167.26 Er.upf
CELL_PARAMETERS angstrom
-3.060 1.908 -0.475
0.570 -0.912 6.567
5.251 8.607 0.739
ATOMIC_POSITIONS crystal
Tl 0.753 0.506 0.750
Ho 0.371 0.741 0.534
Ho 0.629 0.259 0.034
Tl 0.247 0.494 0.250
Ho 0.371 0.741 0.966
Ho 0.629 0.259 0.466
Er 0.960 0.920 0.250
Er 0.040 0.080 0.750
! - Energy of formation from the pure elements: -0.158 eV per atom
! - Distance to the lowest polymorph of the same formula: 13 meV per atom
! - Space-group type: Cmcm (63)

[22]
! BeZn2Tc (PBE, relaxed); values from VASP
&SYSTEM
  ibrav = 0, nat = 4, ntyp = 3
/
ATOMIC_SPECIES
Zn 65.41 Zn.upf
Tc 98.00 Tc.upf
Be 9.01 Be.upf
CELL_PARAMETERS angstrom
4.160 0.000 0.000
2.080 3.602 0.000
2.080 1.201 3.396
ATOMIC_POSITIONS crystal
Zn 0.000 0.000 0.000
Tc 0.750 0.750 0.750
Be 0.500 0.500 0.500
Zn 0.250 0.250 0.250
! - Energy of formation from the pure elements: 0.167 eV per atom
! - Space-group type: F-43m (216)

[23]
! KAl2Te2 (PBE, relaxed); values from VASP
&SYSTEM
  ibrav = 0, nat = 5, ntyp = 3
/
ATOMIC_SPECIES
K 39.10 K.upf
Al 26.98 Al.upf
Te 127.60 Te.upf
CELL_PARAMETERS angstrom
-0.172 -2.421 4.893
3.336 -3.921 -1.823
5.369 -0.602 2.939
ATOMIC_POSITIONS crystal
K 0.000 0.000 0.000
Al 0.642 0.642 0.716
Te 0.250 0.750 0.500
Al 0.358 0.358 0.284
Te 0.750 0.250 0.500
! - E_form (uncorrected): -9.0 kcal/mol of atoms
! - Distance to the lowest polymorph of the same formula: 0 meV per atom
! - Space-group type: I4/mmm (139)

[24]
! PrHCl3 (PBE, relaxed); values from VASP
&SYSTEM
  ibrav = 0, nat = 10, ntyp = 3
/
ATOMIC_SPECIES
Cl 35.45 Cl.upf
H 1.01 H.upf
Pr 140.91 Pr.upf
CELL_PARAMETERS angstrom
4.077 0.000 0.000
0.000 7.859 -0.449
0.000 1.085 7.633
ATOMIC_POSITIONS crystal
Cl 0.750 0.475 0.174
H 0.250 0.618 0.440
Pr 0.250 0.743 0.128
H 0.750 0.382 0.560
Cl 0.750 0.836 0.357
Cl 0.250 0.525 0.826
Cl 0.250 0.164 0.643
Cl 0.750 0.873 0.889
Pr 0.750 0.257 0.872
Cl 0.250 0.127 0.111
! - E: -0.151 Ha/atom
! - Space-group type: P2_1/m (11)

[25]
! PrNdHgOs (PBE, relaxed); values from VASP
&SYSTEM
  ibrav = 0, nat = 4, ntyp = 4
/
ATOMIC_SPECIES
Pr 140.91 Pr.upf
Os 190.23 Os.upf
Hg 200.59 Hg.upf
Nd 144.24 Nd.upf
CELL_PARAMETERS angstrom
5.201 0.000 0.000
2.601 4.504 0.000
2.601 1.501 4.247
ATOMIC_POSITIONS crystal
Pr 0.000 0.000 0.000
Os 0.250 0.250 0.250
Hg 0.750 0.750 0.750
Nd 0.500 0.500 0.500
! - Energy of formation from the pure elements: -0.106 eV per atom
! - Space-group type: F-43m (216)

[26]
! ScZnHg (PBE, relaxed); values from VASP
&SYSTEM
  ibrav = 0, nat = 6, ntyp = 3
/
ATOMIC_SPECIES
Zn 65.41 Zn.upf
Sc 44.96 Sc.upf
Hg 200.59 Hg.upf
CELL_PARAMETERS angstrom
-2.011 -3.896 1.317
2.472 0.111 -3.851
5.327 -1.609 3.373
ATOMIC_POSITIONS crystal
Zn 0.334 0.166 0.250
Sc 0.000 0.500 0.500
Hg 0.333 0.167 0.750
Sc 0.000 0.500 0.000
Zn 0.666 0.834 0.750
Hg 0.667 0.833 0.250
! - Energy of formation from the pure elements: -0.333 eV per atom
! - Space-group type: P6_3/mmc (194)

no.,DOS(E_F) (states/eV/cell)
1,15.49
2,2.83
3,17.31
4,3.50
5,2.76
6,6.57
7,4.55
8,8.47
9,4.29
10,15.88
11,2.44
12,7.56
13,5.69
14,1.91
15,19.99
16,7.83
17,11.80
18,2.30
19,7.68
20,5.90
21,10.13
22,1.19
23,0.92
24,0.00
25,3.28
26,4.44